Record 1
A plane-wave DFT calculation with PBE-GGA was carried out for an optimized crystal structure of Ba2GaPtI.

Properties
The uncorrected energy is -3.83 eV/atom.

CIF file:
```
data_Ba2GaPtI
_chemical_formula_sum 'Ba2 Ga1 Pt1 I1'
_cell_length_a 6.304
_cell_length_b 6.304
_cell_length_c 4.797
_cell_angle_alpha 90.00
_cell_angle_beta 90.00
_cell_angle_gamma 90.00
_symmetry_space_group_name_H-M 'P 1'
_symmetry_Int_Tables_number 1
_symmetry_space_group_name_Hall 'P 1'
loop_
_atom_site_label
_atom_site_fract_x
_atom_site_fract_y
_atom_site_fract_z
_atom_site_occupancy
I1 0.500 0.500 0.500 1
Ga1 0.000 0.000 0.500 1
Ba1 0.000 0.500 0.000 1
Ba2 0.500 0.000 0.000 1
Pt1 0.000 0.000 0.000 1
```

***

Record 2
A plane-wave DFT calculation with PBE-GGA was carried out for an optimized crystal structure of PrNd5Cd3.

Properties
Its formation energy is -1.5 eV per formula unit.

CIF file:
```
data_PrNd5Cd3
_chemical_formula_sum 'Pr2 Nd10 Cd6'
_cell_length_a 7.116
_cell_length_b 9.506
_cell_length_c 9.506
_cell_angle_alpha 120.00
_cell_angle_beta 90.00
_cell_angle_gamma 90.00
_symmetry_space_group_name_H-M 'P 1'
_symmetry_Int_Tables_number 1
_symmetry_space_group_name_Hall 'P 1'
loop_
_atom_site_label
_atom_site_fract_x
_atom_site_fract_y
_atom_site_fract_z
_atom_site_occupancy
Pr1 0.000 0.000 0.000 1
Pr2 0.500 0.000 0.000 1
Nd1 0.000 0.667 0.333 1
Nd2 0.500 0.333 0.667 1
Nd3 0.000 0.333 0.667 1
Nd4 0.500 0.667 0.333 1
Nd5 0.750 0.667 0.667 1
Nd6 0.750 0.000 0.333 1
Nd7 0.750 0.333 0.000 1
Nd8 0.250 0.333 0.333 1
Nd9 0.250 0.000 0.667 1
Nd10 0.250 0.667 0.000 1
Cd1 0.750 0.335 0.335 1
Cd2 0.750 0.000 0.665 1
Cd3 0.750 0.665 0.000 1
Cd4 0.250 0.665 0.665 1
Cd5 0.250 0.000 0.335 1
Cd6 0.250 0.335 0.000 1
```

***

Record 3
A plane-wave DFT calculation with PBE-GGA was carried out for an optimized crystal structure of Tl2GaAg.

Properties
Its formation energy is 0.6 eV per formula unit.

CIF file:
```
data_Tl2GaAg
_chemical_formula_sum 'Tl2 Ga1 Ag1'
_cell_length_a 5.172
_cell_length_b 5.172
_cell_length_c 5.172
_cell_angle_alpha 60.00
_cell_angle_beta 60.00
_cell_angle_gamma 60.00
_symmetry_space_group_name_H-M 'P 1'
_symmetry_Int_Tables_number 1
_symmetry_space_group_name_Hall 'P 1'
loop_
_atom_site_label
_atom_site_fract_x
_atom_site_fract_y
_atom_site_fract_z
_atom_site_occupancy
Tl1 0.250 0.250 0.250 1
Tl2 0.750 0.750 0.750 1
Ga1 0.000 0.000 0.000 1
Ag1 0.500 0.500 0.500 1
```

***

Record 4
A plane-wave DFT calculation with PBE-GGA was carried out for an optimized crystal structure of CuSe2F.

Properties
The uncorrected energy is -3.43 eV/atom.

CIF file:
```
data_CuSe2F
_chemical_formula_sum 'Cu2 Se4 F2'
_cell_length_a 4.234
_cell_length_b 4.234
_cell_length_c 8.962
_cell_angle_alpha 76.34
_cell_angle_beta 76.34
_cell_angle_gamma 90.00
_symmetry_space_group_name_H-M 'P 1'
_symmetry_Int_Tables_number 1
_symmetry_space_group_name_Hall 'P 1'
loop_
_atom_site_label
_atom_site_fract_x
_atom_site_fract_y
_atom_site_fract_z
_atom_site_occupancy
Cu1 0.000 0.000 0.000 1
Cu2 0.750 0.250 0.500 1
Se1 0.716 0.125 0.250 1
Se2 0.034 0.625 0.250 1
Se3 0.375 0.284 0.750 1
Se4 0.875 0.966 0.750 1
F1 0.500 0.500 0.000 1
F2 0.250 0.750 0.500 1
```

***

Record 5
A plane-wave DFT calculation with PBE-GGA was carried out for an optimized crystal structure of Ba2Pt.

Properties
Its formation energy is -1.9 eV per formula unit.

CIF file:
```
data_Ba2Pt
_chemical_formula_sum 'Ba4 Pt2'
_cell_length_a 7.483
_cell_length_b 7.622
_cell_length_c 4.688
_cell_angle_alpha 90.00
_cell_angle_beta 90.00
_cell_angle_gamma 90.00
_symmetry_space_group_name_H-M 'P 1'
_symmetry_Int_Tables_number 1
_symmetry_space_group_name_Hall 'P 1'
loop_
_atom_site_label
_atom_site_fract_x
_atom_site_fract_y
_atom_site_fract_z
_atom_site_occupancy
Ba1 0.279 0.319 0.000 1
Ba2 0.221 0.819 0.500 1
Ba3 0.779 0.181 0.500 1
Ba4 0.721 0.681 0.000 1
Pt1 0.000 0.000 0.000 1
Pt2 0.500 0.500 0.500 1
```

***

Record 6
A plane-wave DFT calculation with PBE-GGA was carried out for an optimized crystal structure of Sr2AgBiP.

Properties
Its formation energy is -3.0 eV per formula unit.

CIF file:
```
data_Sr2AgBiP
_chemical_formula_sum 'Sr2 Ag1 Bi1 P1'
_cell_length_a 5.917
_cell_length_b 4.689
_cell_length_c 5.917
_cell_angle_alpha 90.00
_cell_angle_beta 90.00
_cell_angle_gamma 90.00
_symmetry_space_group_name_H-M 'P 1'
_symmetry_Int_Tables_number 1
_symmetry_space_group_name_Hall 'P 1'
loop_
_atom_site_label
_atom_site_fract_x
_atom_site_fract_y
_atom_site_fract_z
_atom_site_occupancy
Sr1 0.000 0.000 0.500 1
Sr2 0.500 0.000 0.000 1
Bi1 0.500 0.500 0.500 1
Ag1 0.000 0.500 0.000 1
P1 0.000 0.000 0.000 1
```

***

DOS at the Fermi energy readings, ordered: 0.4688; 1.1845; 0.3237; 0.2462; 0.3476; 1.2653 states/eV per atom
Spin magnetization readings, ordered: 0.00; 0.00; 0.00; 0.00; 0.00; 0.00 μB/f.u.